A relaxed Li3Mg6Zn crystal, computed with PBE-GGA.

It has space group R-3 (No. 148, hexagonal axes), with a = 10.6581 Å, b = 10.6581 Å, c = 12.9153 Å, α = 90.00°, β = 90.00° and γ = 120.00°. Symmetry generates all atoms from Li at (0.0422, 0.5910, 0.2032), Mg at (0.0436, 0.8584, 0.3097), Mg at (0.0646, 0.2594, 0.9211), Zn at (0.0000, 0.0000, 0.0000) and Zn at (0.0000, 0.0000, 0.5000).

The density of states at the Fermi level comes out at 0.371 states/eV per atom. The formation energy comes out at -0.0077 eV/atom. As for the density: 1.8 Mg/m³. The total magnetic moment is 0.00 μB/cell.


A relaxed Li2Mg5Zn12 crystal, computed with PBE-GGA.

It has space group C2/m (No. 12), with a = 14.815 Å, b = 6.807 Å, c = 6.513 Å, α = 90.00°, β = 93.22° and γ = 90.00°. Symmetry generates all atoms from Li at (0.000, 0.222, 0.000), Mg at (0.000, 0.500, 0.500), Mg at (0.194, 0.000, 0.033), Mg at (0.246, 0.500, 0.438), Zn at (0.052, 0.000, 0.683), Zn at (0.108, 0.196, 0.349), Zn at (0.121, 0.500, 0.104) and Zn at (0.146, 0.312, 0.750).

The density of states at the Fermi level comes out at 0.304 states/eV per atom. The formation energy comes out at -0.0700 eV/atom. As for the density: 4.7 Mg/m³. The total magnetic moment is 0.00 μB/cell.


A relaxed Li7Mg3Zn crystal, computed with PBE-GGA.

It has space group Cmcm (No. 63), with a = 2.976 Å, b = 20.405 Å, c = 14.148 Å, α = 90.00°, β = 90.00° and γ = 90.00°. Symmetry generates all atoms from Li at (0.000, 0.004, 0.093), Li at (0.000, 0.092, 0.750), Li at (0.000, 0.129, 0.156), Li at (0.000, 0.241, 0.076), Mg at (0.000, 0.238, 0.750), Mg at (0.000, 0.378, 0.043) and Zn at (0.000, 0.470, 0.750).

The density of states at the Fermi level comes out at 0.418 states/eV per atom. The formation energy comes out at 0.0032 eV/atom. As for the density: 1.4 Mg/m³. The total magnetic moment is 0.00 μB/cell.


A relaxed Li4MgZn5 crystal, computed with PBE-GGA.

It has space group P4/mmm (No. 123), with a = 3.180 Å, b = 3.180 Å, c = 15.247 Å, α = 90.00°, β = 90.00° and γ = 90.00°. Symmetry generates all atoms from Li at (0.000, 0.000, 0.096), Li at (0.000, 0.000, 0.288), Mg at (0.000, 0.000, 0.500), Zn at (0.500, 0.500, 0.000), Zn at (0.500, 0.500, 0.191) and Zn at (0.500, 0.500, 0.381).

The density of states at the Fermi level comes out at 0.253 states/eV per atom. The formation energy comes out at -0.1561 eV/atom. As for the density: 4.1 Mg/m³. The total magnetic moment is 0.00 μB/cell.